Compound: TbPmHgIr
Source: Alexandria
Functional: PBE
Structure: optimized geometry

For the energy of formation, the calculation gives -0.562 eV/atom. For the energy, the calculation gives -5.1978 eV per atom. As for the energy above the most stable polymorph in this dataset: 66 meV/atom. The spin magnetization comes out at 0.0 μB/f.u.

Lattice parameters (Å, degrees): 5.115 5.115 5.115 60.00 60.00 60.00
Sites, in units of the cell vectors:
Ir: 0.000 0.000 0.000
Hg: 0.500 0.500 0.500
Pm: 0.250 0.250 0.250
Tb: 0.750 0.750 0.750